The following is a GGA-PBE calculation of crystalline ScCoNi2 at its relaxed geometry, from the Alexandria database.

It has space group I-4m2 (No. 119), with a = 3.7290 Å, b = 3.7290 Å, c = 7.4645 Å, α = 90.00°, β = 90.00° and γ = 90.00°. Symmetry generates all atoms from Sc at (0.0000, 0.0000, 0.0000), Co at (0.0000, 0.5000, 0.7500), Ni at (0.0000, 0.0000, 0.5000) and Ni at (0.0000, 0.5000, 0.2500).

The electronic total energy is -6.44 eV/atom. As for the size of the total moment: 1.87 μB per formula unit.